DFT (PBE) results for CeTh14Sc after structural relaxation.

Calculated values
* energy of formation: 35 meV/atom
* SG: Amm2

a b c (Å): 7.0495 7.0495 10.0943
angles (deg): 90.00 90.00 90.00
Element x y z (fractional)
Th1 0.6262 0.8762 0.7533
Th2 0.6262 0.8762 0.2467
Th3 0.8752 0.6252 0.5000
Th4 0.8748 0.1252 0.5000
Th5 0.3748 0.1248 0.5000
Th6 0.1240 0.8760 0.2467
Th7 0.1238 0.3738 0.2467
Th8 0.3752 0.1252 0.0000
Th9 0.6260 0.3740 0.2466
Th10 0.3752 0.6248 0.5000
Th11 0.6260 0.3740 0.7534
Th12 0.1240 0.8760 0.7533
Th13 0.8748 0.6248 0.0000
Th14 0.1238 0.3738 0.7533
Ce1 0.3747 0.6253 0.0000
Sc1 0.8753 0.1247 0.0000